# 1
# Pm4Sm19Th6 PBE-GGA relaxed
data_Pm4Sm19Th6
_space_group_name_H-M_alt 'P 1'
_space_group_IT_number 1
_cell_length_a 10.943
_cell_length_b 10.943
_cell_length_c 10.943
_cell_angle_alpha 109.47
_cell_angle_beta 109.47
_cell_angle_gamma 109.47
loop_
_space_group_symop_operation_xyz
'x,y,z'
loop_
_atom_site_label
_atom_site_fract_x
_atom_site_fract_y
_atom_site_fract_z
Pm1 0.000 0.000 0.640
Pm2 0.000 0.640 0.000
Pm3 0.360 0.360 0.360
Pm4 0.640 0.000 0.000
Sm1 0.733 0.000 0.733
Sm2 0.267 0.000 0.267
Sm3 0.267 0.267 0.000
Sm4 0.733 0.733 0.000
Sm5 0.000 0.733 0.733
Sm6 0.000 0.267 0.267
Sm7 0.000 0.000 0.000
Sm8 0.196 0.217 0.540
Sm9 0.804 0.344 0.021
Sm10 0.677 0.656 0.460
Sm11 0.021 0.804 0.344
Sm12 0.323 0.783 0.979
Sm13 0.540 0.196 0.217
Sm14 0.979 0.323 0.783
Sm15 0.460 0.677 0.656
Sm16 0.783 0.979 0.323
Sm17 0.344 0.021 0.804
Sm18 0.217 0.540 0.196
Sm19 0.656 0.460 0.677
Th1 0.371 0.500 0.871
Th2 0.629 0.500 0.129
Th3 0.129 0.629 0.500
Th4 0.871 0.371 0.500
Th5 0.500 0.871 0.371
Th6 0.500 0.129 0.629
# energy of formation = 0.41 eV/atom
# spin magnetization = 0.00 μB per cell

=====

# 2
# Pm4Sm3Th PBE-GGA relaxed
data_Pm4Sm3Th
_space_group_name_H-M_alt 'P 1'
_space_group_IT_number 1
_cell_length_a 3.496
_cell_length_b 6.930
_cell_length_c 11.964
_cell_angle_alpha 106.78
_cell_angle_beta 98.40
_cell_angle_gamma 90.00
loop_
_space_group_symop_operation_xyz
'x,y,z'
loop_
_atom_site_label
_atom_site_fract_x
_atom_site_fract_y
_atom_site_fract_z
Th1 0.500 0.000 0.000
Sm1 0.000 0.500 0.000
Sm2 0.123 0.885 0.245
Sm3 0.877 0.115 0.755
Pm1 0.742 0.241 0.485
Pm2 0.258 0.759 0.515
Pm3 0.122 0.360 0.245
Pm4 0.878 0.640 0.755
# energy of formation = 0.16 eV/atom
# spin magnetization = 0.00 μB per cell

=====

# 3
# PmSmTh PBE-GGA relaxed
data_PmSmTh
_space_group_name_H-M_alt 'P 1'
_space_group_IT_number 1
_cell_length_a 3.628
_cell_length_b 3.628
_cell_length_c 8.067
_cell_angle_alpha 102.99
_cell_angle_beta 102.99
_cell_angle_gamma 90.00
loop_
_space_group_symop_operation_xyz
'x,y,z'
loop_
_atom_site_label
_atom_site_fract_x
_atom_site_fract_y
_atom_site_fract_z
Th1 0.666 0.666 0.333
Sm1 0.008 0.008 0.017
Pm1 0.325 0.325 0.651
# energy of formation = 0.03 eV/atom
# spin magnetization = 0.00 μB per cell

=====

# 4
# Pm5Sm5Th2 PBE-GGA relaxed
data_Pm5Sm5Th2
_space_group_name_H-M_alt 'P 1'
_space_group_IT_number 1
_cell_length_a 5.131
_cell_length_b 10.905
_cell_length_c 8.115
_cell_angle_alpha 98.49
_cell_angle_beta 71.53
_cell_angle_gamma 76.40
loop_
_space_group_symop_operation_xyz
'x,y,z'
loop_
_atom_site_label
_atom_site_fract_x
_atom_site_fract_y
_atom_site_fract_z
Pm1 0.000 0.500 0.500
Pm2 0.670 0.744 0.917
Pm3 0.334 0.999 0.334
Pm4 0.666 0.001 0.666
Pm5 0.330 0.256 0.083
Sm1 0.664 0.254 0.418
Sm2 0.994 0.257 0.755
Sm3 0.006 0.743 0.245
Sm4 0.336 0.746 0.582
Sm5 0.000 0.000 0.000
Th1 0.330 0.500 0.840
Th2 0.670 0.500 0.160
# energy of formation = 0.03 eV/atom
# spin magnetization = 0.00 μB per cell

=====

# 5
# Pm7Sm4Th PBE-GGA relaxed
data_Pm7Sm4Th
_space_group_name_H-M_alt 'P 1'
_space_group_IT_number 1
_cell_length_a 5.758
_cell_length_b 5.758
_cell_length_c 14.170
_cell_angle_alpha 90.00
_cell_angle_beta 90.00
_cell_angle_gamma 120.00
loop_
_space_group_symop_operation_xyz
'x,y,z'
loop_
_atom_site_label
_atom_site_fract_x
_atom_site_fract_y
_atom_site_fract_z
Pm1 0.000 0.000 0.000
Pm2 0.667 0.333 0.625
Pm3 0.333 0.667 0.375
Pm4 0.667 0.333 0.874
Pm5 0.333 0.667 0.126
Pm6 0.000 0.000 0.252
Pm7 0.000 0.000 0.748
Sm1 0.667 0.333 0.126
Sm2 0.333 0.667 0.874
Sm3 0.667 0.333 0.376
Sm4 0.333 0.667 0.624
Th1 0.000 0.000 0.500
# energy of formation = 0.07 eV/atom
# spin magnetization = 0.00 μB per cell

=====

# 6
# PmSm4Th2 PBE-GGA relaxed
data_PmSm4Th2
_space_group_name_H-M_alt 'P 1'
_space_group_IT_number 1
_cell_length_a 5.714
_cell_length_b 5.714
_cell_length_c 9.228
_cell_angle_alpha 108.04
_cell_angle_beta 108.04
_cell_angle_gamma 90.00
loop_
_space_group_symop_operation_xyz
'x,y,z'
loop_
_atom_site_label
_atom_site_fract_x
_atom_site_fract_y
_atom_site_fract_z
Pm1 0.000 0.000 0.000
Sm1 0.815 0.815 0.630
Sm2 0.185 0.185 0.370
Sm3 0.000 0.500 0.000
Sm4 0.500 0.000 0.000
Th1 0.610 0.610 0.220
Th2 0.390 0.390 0.780
# energy of formation = 0.77 eV/atom
# spin magnetization = 0.01 μB per cell

=====

# 7
# Pm12Sm3Th PBE-GGA relaxed
data_Pm12Sm3Th
_space_group_name_H-M_alt 'P 1'
_space_group_IT_number 1
_cell_length_a 5.150
_cell_length_b 5.150
_cell_length_c 20.596
_cell_angle_alpha 90.00
_cell_angle_beta 90.00
_cell_angle_gamma 90.00
loop_
_space_group_symop_operation_xyz
'x,y,z'
loop_
_atom_site_label
_atom_site_fract_x
_atom_site_fract_y
_atom_site_fract_z
Pm1 0.500 0.500 0.000
Pm2 0.500 0.500 0.250
Pm3 0.500 0.500 0.500
Pm4 0.500 0.500 0.750
Pm5 0.500 0.000 0.122
Pm6 0.500 0.000 0.374
Pm7 0.500 0.000 0.626
Pm8 0.500 0.000 0.878
Pm9 0.000 0.500 0.122
Pm10 0.000 0.500 0.374
Pm11 0.000 0.500 0.626
Pm12 0.000 0.500 0.878
Sm1 0.000 0.000 0.249
Sm2 0.000 0.000 0.500
Sm3 0.000 0.000 0.751
Th1 0.000 0.000 0.000
# energy of formation = 0.02 eV/atom
# spin magnetization = 0.00 μB per cell

=====

# 8
# Pm5SmTh3 PBE-GGA relaxed
data_Pm5SmTh3
_space_group_name_H-M_alt 'P 1'
_space_group_IT_number 1
_cell_length_a 12.173
_cell_length_b 10.513
_cell_length_c 9.103
_cell_angle_alpha 74.72
_cell_angle_beta 63.04
_cell_angle_gamma 124.62
loop_
_space_group_symop_operation_xyz
'x,y,z'
loop_
_atom_site_label
_atom_site_fract_x
_atom_site_fract_y
_atom_site_fract_z
Pm1 0.222 0.056 0.500
Pm2 0.889 0.723 0.499
Pm3 0.056 0.389 0.000
Pm4 0.389 0.722 0.000
Pm5 0.611 0.278 0.000
Pm6 0.944 0.611 0.000
Pm7 0.444 0.611 0.500
Pm8 0.111 0.277 0.501
Pm9 0.778 0.944 0.500
Pm10 0.556 0.389 0.500
Sm1 0.722 0.056 0.000
Sm2 0.278 0.944 0.000
Th1 0.833 0.333 0.501
Th2 0.334 0.333 0.000
Th3 0.000 0.000 0.000
Th4 0.500 0.000 0.500
Th5 0.167 0.667 0.499
Th6 0.666 0.667 0.000
# energy of formation = 0.08 eV/atom
# spin magnetization = 0.00 μB per cell

=====

Q: The highest energy of formation belongs to which entry?
A: PmSm4Th2